Entry 1:
# PBE CaLa3Ru, relaxed
data_CaLa3Ru
_chemical_formula_sum 'Ca2 La6 Ru2'
_cell_length_a 7.995
_cell_length_b 6.920
_cell_length_c 7.973
_cell_angle_alpha 89.99
_cell_angle_beta 60.09
_cell_angle_gamma 73.57
_symmetry_space_group_name_H-M 'P 1'
_symmetry_Int_Tables_number 1
loop_
_symmetry_equiv_pos_as_xyz
'x,y,z'
loop_
_atom_site_label
_atom_site_fract_x
_atom_site_fract_y
_atom_site_fract_z
Ru1 0.478 0.850 0.587
Ru2 0.009 0.310 0.322
Ca1 0.252 0.593 0.201
Ca2 0.746 0.096 0.953
La1 0.748 0.594 0.697
La2 0.245 0.097 0.453
La3 0.246 0.601 0.704
La4 0.748 0.594 0.208
La5 0.245 0.097 0.955
La6 0.746 0.095 0.453
# Distance to the lowest polymorph of the same formula (meV per atom): 9
# DFT total energy (eV/atom): -5.374
# Symmetry: Cm (8)

***

Entry 2:
# PBE ScAs2Os, relaxed
data_ScAs2Os
_chemical_formula_sum 'Sc1 As2 Os1'
_cell_length_a 4.723
_cell_length_b 3.124
_cell_length_c 4.995
_cell_angle_alpha 71.56
_cell_angle_beta 90.00
_cell_angle_gamma 90.00
_symmetry_space_group_name_H-M 'P 1'
_symmetry_Int_Tables_number 1
loop_
_symmetry_equiv_pos_as_xyz
'x,y,z'
loop_
_atom_site_label
_atom_site_fract_x
_atom_site_fract_y
_atom_site_fract_z
As1 0.000 0.065 0.998
As2 0.500 0.417 0.295
Os1 0.000 0.336 0.454
Sc1 0.500 0.682 0.754
# Distance to the lowest polymorph of the same formula (meV per atom): 177
# DFT total energy (eV/atom): -6.954
# Symmetry: Pm (6)

***

Entry 3:
# PBE K2TlGaO4, relaxed
data_K2TlGaO4
_chemical_formula_sum 'K2 Tl1 Ga1 O4'
_cell_length_a 5.982
_cell_length_b 5.982
_cell_length_c 5.812
_cell_angle_alpha 121.01
_cell_angle_beta 121.02
_cell_angle_gamma 89.93
_symmetry_space_group_name_H-M 'P 1'
_symmetry_Int_Tables_number 1
loop_
_symmetry_equiv_pos_as_xyz
'x,y,z'
loop_
_atom_site_label
_atom_site_fract_x
_atom_site_fract_y
_atom_site_fract_z
K1 0.486 0.986 0.973
K2 0.236 0.236 0.473
Tl1 0.986 0.486 0.972
Ga1 0.736 0.736 0.472
O1 0.695 0.630 0.706
O2 0.841 0.460 0.237
O3 0.396 0.776 0.237
O4 0.011 0.075 0.706
# DFT total energy (eV/atom): -4.845
# Formation energy without anion corrections (kJ/mol of formula units): -1094
# Symmetry: I-4 (82)

***

Entry 4:
# PBE Er4S2N, relaxed
data_Er4S2N
_chemical_formula_sum 'Er4 S2 N1'
_cell_length_a 3.631
_cell_length_b 3.631
_cell_length_c 12.657
_cell_angle_alpha 81.75
_cell_angle_beta 81.75
_cell_angle_gamma 60.00
_symmetry_space_group_name_H-M 'P 1'
_symmetry_Int_Tables_number 1
loop_
_symmetry_equiv_pos_as_xyz
'x,y,z'
loop_
_atom_site_label
_atom_site_fract_x
_atom_site_fract_y
_atom_site_fract_z
Er1 0.129 0.129 0.613
Er2 0.299 0.299 0.104
Er3 0.701 0.701 0.896
Er4 0.871 0.871 0.387
S1 0.415 0.415 0.756
S2 0.585 0.585 0.244
N1 0.000 0.000 0.000
# DFT total energy (eV/atom): -6.583
# Formation energy without anion corrections (kJ/mol of formula units): -1085
# Symmetry: R-3m (166)

***

Entry 5:
# PBE KLiRe2H, relaxed
data_KLiRe2H
_chemical_formula_sum 'K1 Li1 Re2 H1'
_cell_length_a 4.189
_cell_length_b 5.990
_cell_length_c 4.189
_cell_angle_alpha 90.00
_cell_angle_beta 90.00
_cell_angle_gamma 90.00
_symmetry_space_group_name_H-M 'P 1'
_symmetry_Int_Tables_number 1
loop_
_symmetry_equiv_pos_as_xyz
'x,y,z'
loop_
_atom_site_label
_atom_site_fract_x
_atom_site_fract_y
_atom_site_fract_z
Re1 0.000 0.000 0.500
Re2 0.500 0.000 0.000
K1 0.500 0.500 0.500
H1 0.000 0.500 0.000
Li1 0.000 0.000 0.000
# DFT total energy (eV/atom): -4.011
# Symmetry: P4/mmm (123)

***

Entry 6:
# PBE NaNb2Si, relaxed
data_NaNb2Si
_chemical_formula_sum 'Na2 Nb4 Si2'
_cell_length_a 3.969
_cell_length_b 3.969
_cell_length_c 10.176
_cell_angle_alpha 78.76
_cell_angle_beta 78.76
_cell_angle_gamma 90.00
_symmetry_space_group_name_H-M 'P 1'
_symmetry_Int_Tables_number 1
loop_
_symmetry_equiv_pos_as_xyz
'x,y,z'
loop_
_atom_site_label
_atom_site_fract_x
_atom_site_fract_y
_atom_site_fract_z
Na1 0.500 0.500 0.000
Na2 0.250 0.750 0.500
Nb1 0.652 0.125 0.250
Nb2 0.098 0.625 0.250
Nb3 0.375 0.348 0.750
Nb4 0.875 0.902 0.750
Si1 0.000 0.000 0.000
Si2 0.750 0.250 0.500
# DFT total energy (eV/atom): -5.957
# Formation energy without anion corrections (kJ/mol of formula units): 295
# Symmetry: I-42d (122)

***

> DFT total energy of number 4 (Er4S2N)?

-6.583 eV/atom